Below is crystalline Si4Ir2Pt at its relaxed geometry, with properties calculated at the GGA-PBE level.

- formation energy from raw total energies (kcal/mol of atoms) = -10.74
- SG = No. 62
- uncorrected energy (Ry/atom) = -0.51151

Cell: 13.0387 2.9347 11.0608 Å, 90.00 90.00 90.00°
With the nearest neighbours (Å) after each atom.
Fractional coordinates of all 28 atoms:
Si (0.0086, 0.2500, 0.0994)  4 Ir 2.36-2.51
Si (0.0314, 0.2500, 0.6196)  2 Ir 2.47, 3 Pt 2.54-2.64
Si (0.2064, 0.7500, 0.5618)  3 Ir 2.42-2.44, 2 Pt 2.47
Si (0.2141, 0.7500, 0.2463)  3 Ir 2.49-2.54, 2 Pt 2.59, 2 Si 2.72
Si (0.2859, 0.2500, 0.7463)  3 Ir 2.49-2.54, 2 Pt 2.59, 2 Si 2.72
Si (0.2936, 0.2500, 0.0618)  3 Ir 2.42-2.44, 2 Pt 2.47
Si (0.4686, 0.7500, 0.1196)  2 Ir 2.47, 3 Pt 2.54-2.64
Si (0.4914, 0.7500, 0.5994)  4 Ir 2.36-2.51
Si (0.5086, 0.2500, 0.4006)  4 Ir 2.36-2.51
Si (0.5314, 0.2500, 0.8804)  2 Ir 2.47, 3 Pt 2.54-2.64
Si (0.7064, 0.7500, 0.9382)  3 Ir 2.42-2.44, 2 Pt 2.47
Si (0.7141, 0.7500, 0.2537)  3 Ir 2.49-2.54, 2 Pt 2.59, 2 Si 2.72
Si (0.7859, 0.2500, 0.7537)  3 Ir 2.49-2.54, 2 Pt 2.59, 2 Si 2.72
Si (0.7936, 0.2500, 0.4382)  3 Ir 2.42-2.44, 2 Pt 2.47
Si (0.9686, 0.7500, 0.3804)  2 Ir 2.47, 3 Pt 2.54-2.64
Si (0.9914, 0.7500, 0.9006)  4 Ir 2.36-2.51
Ir (0.1275, 0.7500, 0.7595)  6 Si 2.36-2.54
Ir (0.1456, 0.7500, 0.0365)  6 Si 2.41-2.51
Ir (0.3544, 0.2500, 0.5365)  6 Si 2.41-2.51
Ir (0.3725, 0.2500, 0.2595)  6 Si 2.36-2.54
Ir (0.6275, 0.7500, 0.7405)  6 Si 2.36-2.54
Ir (0.6456, 0.7500, 0.4635)  6 Si 2.41-2.51
Ir (0.8544, 0.2500, 0.9635)  6 Si 2.41-2.51
Ir (0.8725, 0.2500, 0.2405)  6 Si 2.36-2.54
Pt (0.1260, 0.2500, 0.4088)  7 Si 2.47-2.64
Pt (0.3740, 0.7500, 0.9088)  7 Si 2.47-2.64
Pt (0.6260, 0.2500, 0.0912)  7 Si 2.47-2.64
Pt (0.8740, 0.7500, 0.5912)  7 Si 2.47-2.64